Entry 1:
The following is a GGA-PBEsol calculation of a geometry-optimized BaCaCrF7 structure, from the Alexandria database.

Output
The total energy comes out at -249.7 eV for the cell shown. Its volume is 552.35 Å³ per cell. For the uncorrected formation energy, the calculation gives -332.1 kJ per mole of atoms.

The structure in CIF format:
```
data_BaCaCrF7
_chemical_formula_sum 'Ba4 Ca4 Cr4 F28'
_cell_length_a 5.387
_cell_length_b 5.411
_cell_length_c 19.517
_cell_angle_alpha 90.00
_cell_angle_beta 103.88
_cell_angle_gamma 90.00
_space_group_name_H-M_alt 'P 1 2/c 1'
_space_group_IT_number 13
_space_group_name_Hall '-P 2yc'
loop_
_atom_site_label
_atom_site_fract_x
_atom_site_fract_y
_atom_site_fract_z
Ba1 0.181 0.241 0.432
Ca1 0.000 0.326 0.750
Ca2 0.500 0.206 0.250
Cr1 0.315 0.223 0.619
F1 0.006 0.285 0.944
F2 0.148 0.023 0.677
F3 0.235 0.370 0.309
F4 0.249 0.498 0.674
F5 0.342 0.056 0.063
F6 0.373 0.130 0.816
F7 0.468 0.409 0.560
```

=====

Entry 2:
The following is a GGA-PBEsol calculation of a geometry-optimized Ba2NaCaCr structure, from the Alexandria database.

Output
The calculation puts the calculated formation energy at 0.64 eV per atom. The total energy comes out at -14.9 eV for the cell shown. Its volume is 234.56 Å³ per cell.

The structure in CIF format:
```
data_Ba2NaCaCr
_chemical_formula_sum 'Ba2 Na1 Ca1 Cr1'
_cell_length_a 6.341
_cell_length_b 6.341
_cell_length_c 5.834
_cell_angle_alpha 90.00
_cell_angle_beta 90.00
_cell_angle_gamma 90.00
_space_group_name_H-M_alt 'P 4/m m m'
_space_group_IT_number 123
_space_group_name_Hall '-P 4 2'
loop_
_atom_site_label
_atom_site_fract_x
_atom_site_fract_y
_atom_site_fract_z
Ba1 0.000 0.500 0.000
Na1 0.000 0.000 0.500
Ca1 0.500 0.500 0.500
Cr1 0.000 0.000 0.000
```

=====

Entry 3:
The following is a GGA-PBEsol calculation of a geometry-optimized BaCaNbCr2 structure, from the Alexandria database.

Output
The calculation puts the calculated formation energy at 2.30 eV per atom. The total energy comes out at -24.1 eV for the cell shown. Its volume is 133.29 Å³ per cell.

The structure in CIF format:
```
data_BaCaNbCr2
_chemical_formula_sum 'Ba1 Ca1 Nb1 Cr2'
_cell_length_a 4.941
_cell_length_b 4.941
_cell_length_c 5.460
_cell_angle_alpha 90.00
_cell_angle_beta 90.00
_cell_angle_gamma 90.00
_space_group_name_H-M_alt 'P 4/m m m'
_space_group_IT_number 123
_space_group_name_Hall '-P 4 2'
loop_
_atom_site_label
_atom_site_fract_x
_atom_site_fract_y
_atom_site_fract_z
Ba1 0.000 0.000 0.000
Ca1 0.000 0.000 0.500
Nb1 0.500 0.500 0.000
Cr1 0.000 0.500 0.500
```

=====

Entry 4:
The following is a GGA-PBEsol calculation of a geometry-optimized BaCaCrO2 structure, from the Alexandria database.

Output
The total energy comes out at -23.4 eV for the cell shown. Its volume is 149.47 Å³ per cell. For the uncorrected formation energy, the calculation gives 32.0 kJ per mole of atoms.

The structure in CIF format:
```
data_BaCaCrO2
_chemical_formula_sum 'Ba1 Ca1 Cr1 O2'
_cell_length_a 4.546
_cell_length_b 4.546
_cell_length_c 7.232
_cell_angle_alpha 90.00
_cell_angle_beta 90.00
_cell_angle_gamma 90.00
_space_group_name_H-M_alt 'P 4/m m m'
_space_group_IT_number 123
_space_group_name_Hall '-P 4 2'
loop_
_atom_site_label
_atom_site_fract_x
_atom_site_fract_y
_atom_site_fract_z
Ba1 0.000 0.000 0.000
Ca1 0.000 0.000 0.500
Cr1 0.500 0.500 0.500
O1 0.000 0.500 0.000
```

=====

Entry 5:
The following is a GGA-PBEsol calculation of a geometry-optimized CsBa2Ca structure, from the Alexandria database.

Output
The calculation puts the calculated formation energy at 0.17 eV per atom. The total energy comes out at -26.8 eV for the cell shown. Its volume is 927.26 Å³ per cell.

The structure in CIF format:
```
data_CsBa2Ca
_chemical_formula_sum 'Cs4 Ba8 Ca4'
_cell_length_a 9.751
_cell_length_b 9.751
_cell_length_c 9.751
_cell_angle_alpha 90.00
_cell_angle_beta 90.00
_cell_angle_gamma 90.00
_space_group_name_H-M_alt 'F m -3 m'
_space_group_IT_number 225
_space_group_name_Hall '-F 4 2 3'
loop_
_atom_site_label
_atom_site_fract_x
_atom_site_fract_y
_atom_site_fract_z
Cs1 0.000 0.000 0.000
Ba1 0.250 0.250 0.250
Ca1 0.000 0.000 0.500
```

=====

Entry 6:
The following is a GGA-PBEsol calculation of a geometry-optimized Cs2BaCaGe structure, from the Alexandria database.

Output
The calculation puts the calculated formation energy at 0.27 eV per atom. The total energy comes out at -9.8 eV for the cell shown. Its volume is 319.73 Å³ per cell.

The structure in CIF format:
```
data_Cs2BaCaGe
_chemical_formula_sum 'Cs2 Ba1 Ca1 Ge1'
_cell_length_a 7.167
_cell_length_b 7.167
_cell_length_c 6.225
_cell_angle_alpha 90.00
_cell_angle_beta 90.00
_cell_angle_gamma 90.00
_space_group_name_H-M_alt 'P 4/m m m'
_space_group_IT_number 123
_space_group_name_Hall '-P 4 2'
loop_
_atom_site_label
_atom_site_fract_x
_atom_site_fract_y
_atom_site_fract_z
Cs1 0.000 0.500 0.000
Ba1 0.000 0.000 0.500
Ca1 0.500 0.500 0.500
Ge1 0.000 0.000 0.000
```